Here is crystalline HoGePd at its relaxed geometry from Alexandria. Energies are from GGA-PBEsol.

Lattice parameters (Å, degrees): 4.283 5.555 5.584 76.47 67.45 67.32
Fractional positions:
Pd 0.176 0.374 0.274
Pd 0.824 0.626 0.726
Ho 0.549 0.212 0.691
Ho 0.451 0.788 0.309
Ge 0.841 0.218 0.100
Ge 0.159 0.782 0.900

Summary:
* density of states at the Fermi level: 2.56 states/eV/cell
* formation energy: -957 meV per atom

---

Here is crystalline HoGePd at its relaxed geometry from Alexandria. Energies are from GGA-PBEsol.

Lattice parameters (Å, degrees): 4.347 7.475 13.712 90.00 90.00 90.00
Fractional positions:
Pd 0.000 0.581 0.655
Pd 0.500 0.076 0.392
Pd 0.500 0.419 0.845
Pd 0.500 0.419 0.155
Pd 0.000 0.924 0.108
Pd 0.500 0.076 0.608
Pd 0.000 0.924 0.892
Pd 0.000 0.581 0.345
Ge 0.000 0.909 0.402
Ge 0.500 0.091 0.098
Ge 0.500 0.091 0.902
Ge 0.000 0.592 0.144
Ge 0.500 0.408 0.356
Ge 0.000 0.592 0.856
Ge 0.000 0.909 0.598
Ge 0.500 0.408 0.644
Ho 0.000 0.290 0.500
Ho 0.000 0.296 0.000
Ho 0.500 0.710 0.000
Ho 0.000 0.212 0.249
Ho 0.000 0.212 0.751
Ho 0.500 0.788 0.749
Ho 0.500 0.704 0.500
Ho 0.500 0.788 0.251

Summary:
* density of states at the Fermi level: 8.22 states/eV/cell
* formation energy: -1039 meV per atom

---

Here is crystalline Ho2Ge6Pd at its relaxed geometry from Alexandria. Energies are from GGA-PBEsol.

Lattice parameters (Å, degrees): 3.966 4.023 11.010 90.00 100.38 90.00
Fractional positions:
Ge 0.462 0.500 0.925
Ge 0.599 0.000 0.199
Ge 0.714 0.000 0.427
Ge 0.212 0.500 0.425
Ge 0.098 0.500 0.196
Ge 0.890 0.500 0.780
Pd 0.780 0.500 0.559
Ho 0.998 0.000 0.997
Ho 0.338 0.000 0.676

Summary:
* density of states at the Fermi level: 2.28 states/eV/cell
* formation energy: -562 meV per atom

---

Here is crystalline HoGePd2 at its relaxed geometry from Alexandria. Energies are from GGA-PBEsol.

Lattice parameters (Å, degrees): 5.495 7.020 7.268 90.00 90.00 90.00
Fractional positions:
Pd 0.087 0.449 0.182
Pd 0.587 0.949 0.318
Pd 0.087 0.051 0.182
Pd 0.413 0.051 0.682
Pd 0.913 0.949 0.818
Pd 0.587 0.551 0.318
Pd 0.413 0.449 0.682
Pd 0.913 0.551 0.818
Ho 0.144 0.750 0.471
Ho 0.644 0.250 0.029
Ho 0.856 0.250 0.529
Ho 0.356 0.750 0.971
Ge 0.856 0.750 0.119
Ge 0.144 0.250 0.881
Ge 0.644 0.750 0.619
Ge 0.356 0.250 0.381

Summary:
* density of states at the Fermi level: 5.42 states/eV/cell
* formation energy: -949 meV per atom

---

Here is crystalline HoGePd at its relaxed geometry from Alexandria. Energies are from GGA-PBEsol.

Lattice parameters (Å, degrees): 4.328 7.507 11.166 109.64 101.18 90.00
Fractional positions:
Ge 0.565 0.718 0.130
Ge 0.095 0.249 0.189
Ge 0.905 0.060 0.811
Ge 0.735 0.574 0.471
Ge 0.265 0.103 0.529
Ge 0.435 0.588 0.870
Ho 0.833 0.370 0.666
Ho 0.667 0.123 0.335
Ho 0.000 0.450 0.000
Ho 0.167 0.704 0.334
Ho 0.500 0.035 0.000
Ho 0.333 0.789 0.665
Pd 0.395 0.222 0.791
Pd 0.232 0.399 0.463
Pd 0.605 0.432 0.209
Pd 0.928 0.751 0.857
Pd 0.768 0.935 0.537
Pd 0.072 0.895 0.143

Summary:
* density of states at the Fermi level: 6.15 states/eV/cell
* formation energy: -1037 meV per atom

---

Here is crystalline Ho2Ge3Pt9 at its relaxed geometry from Alexandria. Energies are from GGA-PBEsol.

Lattice parameters (Å, degrees): 7.704 7.704 9.936 90.33 112.62 119.78
Fractional positions:
Pt 0.125 0.976 0.924
Pt 0.446 0.914 0.743
Pt 0.219 0.523 0.577
Pt 0.329 0.297 0.243
Pt 0.779 0.305 0.920
Pt 0.671 0.703 0.757
Pt 0.221 0.695 0.080
Pt 0.781 0.477 0.423
Pt 0.114 0.141 0.420
Pt 0.886 0.859 0.580
Pt 0.118 0.868 0.250
Pt 0.875 0.024 0.076
Pt 0.554 0.359 0.077
Pt 0.554 0.086 0.257
Pt 0.446 0.641 0.923
Pt 0.448 0.799 0.424
Pt 0.552 0.201 0.576
Pt 0.882 0.132 0.750
Ge 0.179 0.361 0.997
Ge 0.137 0.819 0.497
Ge 0.500 0.500 0.500
Ge 0.863 0.181 0.503
Ge 0.500 0.000 0.000
Ge 0.821 0.639 0.003
Ho 0.997 0.583 0.751
Ho 0.003 0.417 0.249
Ho 0.332 0.246 0.749
Ho 0.668 0.754 0.251

Summary:
* density of states at the Fermi level: 10.85 states/eV/cell
* formation energy: -801 meV per atom

---

Here is crystalline HoGe4Rh6 at its relaxed geometry from Alexandria. Energies are from GGA-PBEsol.

Lattice parameters (Å, degrees): 3.786 7.102 7.102 120.00 90.00 90.00
Fractional positions:
Rh 0.500 0.801 0.603
Rh 0.000 0.067 0.533
Rh 0.000 0.467 0.933
Rh 0.500 0.397 0.199
Rh 0.500 0.801 0.199
Rh 0.000 0.467 0.533
Ge 0.500 0.197 0.803
Ge 0.500 0.197 0.393
Ge 0.500 0.607 0.803
Ge 0.000 0.667 0.333
Ho 0.000 0.000 0.000

Summary:
* density of states at the Fermi level: 4.16 states/eV/cell
* formation energy: -772 meV per atom

---

Here is crystalline Ho2Ge5Rh3 at its relaxed geometry from Alexandria. Energies are from GGA-PBEsol.

Lattice parameters (Å, degrees): 5.772 8.221 8.221 94.33 108.71 108.71
Fractional positions:
Ho 0.263 0.909 0.630
Ho 0.237 0.370 0.091
Ho 0.763 0.630 0.909
Ho 0.737 0.091 0.370
Rh 0.625 0.238 0.953
Rh 0.250 0.501 0.499
Rh 0.750 0.499 0.501
Rh 0.875 0.047 0.762
Rh 0.125 0.953 0.238
Rh 0.375 0.762 0.047
Ge 0.830 0.423 0.234
Ge 0.250 0.279 0.721
Ge 0.250 0.706 0.294
Ge 0.750 0.986 0.014
Ge 0.750 0.721 0.279
Ge 0.750 0.294 0.706
Ge 0.670 0.766 0.577
Ge 0.170 0.577 0.766
Ge 0.330 0.234 0.423
Ge 0.250 0.014 0.986

Summary:
* density of states at the Fermi level: 8.85 states/eV/cell
* formation energy: -829 meV per atom

---

Here is crystalline Ho2Ge2Rh at its relaxed geometry from Alexandria. Energies are from GGA-PBEsol.

Lattice parameters (Å, degrees): 4.219 5.585 9.254 81.66 76.82 67.81
Fractional positions:
Ge 0.478 0.660 0.383
Ge 0.643 0.771 0.942
Ge 0.522 0.340 0.617
Ge 0.357 0.229 0.058
Rh 0.275 0.606 0.844
Rh 0.725 0.394 0.156
Ho 0.995 0.182 0.829
Ho 0.813 0.759 0.616
Ho 0.187 0.241 0.384
Ho 0.005 0.818 0.171

Summary:
* density of states at the Fermi level: 4.44 states/eV/cell
* formation energy: -985 meV per atom

---

Here is crystalline Ho3Ge2Rh2 at its relaxed geometry from Alexandria. Energies are from GGA-PBEsol.

Lattice parameters (Å, degrees): 5.493 7.638 13.040 90.00 90.00 90.00
Fractional positions:
Ho 0.145 0.397 0.100
Ho 0.855 0.603 0.900
Ho 0.629 0.262 0.250
Ho 0.145 0.103 0.600
Ho 0.855 0.897 0.400
Ho 0.855 0.897 0.100
Ho 0.855 0.603 0.600
Ho 0.371 0.762 0.250
Ho 0.371 0.738 0.750
Ho 0.145 0.103 0.900
Ho 0.629 0.238 0.750
Ho 0.145 0.397 0.400
Rh 0.374 0.455 0.908
Rh 0.374 0.455 0.592
Rh 0.374 0.045 0.408
Rh 0.626 0.955 0.908
Rh 0.374 0.045 0.092
Rh 0.626 0.545 0.408
Rh 0.626 0.955 0.592
Rh 0.626 0.545 0.092
Ge 0.127 0.387 0.750
Ge 0.668 0.250 0.000
Ge 0.873 0.887 0.750
Ge 0.332 0.750 0.000
Ge 0.873 0.613 0.250
Ge 0.127 0.113 0.250
Ge 0.332 0.750 0.500
Ge 0.668 0.250 0.500

Summary:
* density of states at the Fermi level: 17.42 states/eV/cell
* formation energy: -958 meV per atom

---

Here is crystalline Ho5Ge10Rh4 at its relaxed geometry from Alexandria. Energies are from GGA-PBEsol.

Lattice parameters (Å, degrees): 4.233 12.832 12.832 90.00 90.00 90.00
Fractional positions:
Ho 0.000 0.500 0.500
Ho 0.500 0.175 0.325
Ho 0.500 0.325 0.825
Ho 0.000 0.000 0.000
Ho 0.500 0.113 0.613
Ho 0.500 0.613 0.887
Ho 0.500 0.387 0.113
Ho 0.500 0.675 0.175
Ho 0.500 0.825 0.675
Ho 0.500 0.887 0.387
Rh 0.000 0.021 0.246
Rh 0.000 0.246 0.979
Rh 0.000 0.521 0.254
Rh 0.000 0.746 0.521
Rh 0.000 0.254 0.479
Rh 0.000 0.979 0.754
Rh 0.000 0.754 0.021
Rh 0.000 0.479 0.746
Ge 0.000 0.067 0.433
Ge 0.000 0.801 0.838
Ge 0.000 0.662 0.699
Ge 0.000 0.199 0.162
Ge 0.500 0.502 0.342
Ge 0.000 0.838 0.199
Ge 0.500 0.498 0.658
Ge 0.500 0.842 0.002
Ge 0.000 0.933 0.567
Ge 0.500 0.342 0.498
Ge 0.500 0.998 0.842
Ge 0.000 0.301 0.662
Ge 0.000 0.567 0.067
Ge 0.000 0.162 0.801
Ge 0.000 0.338 0.301
Ge 0.000 0.699 0.338
Ge 0.500 0.158 0.998
Ge 0.500 0.002 0.158
Ge 0.500 0.658 0.502
Ge 0.000 0.433 0.933

Summary:
* density of states at the Fermi level: 14.42 states/eV/cell
* formation energy: -860 meV per atom

---

Here is crystalline Ho3Ge3Ru2 at its relaxed geometry from Alexandria. Energies are from GGA-PBEsol.

Lattice parameters (Å, degrees): 4.204 5.723 13.701 90.00 90.00 111.54
Fractional positions:
Ho 0.146 0.293 0.250
Ho 0.422 0.844 0.387
Ho 0.578 0.156 0.887
Ho 0.854 0.707 0.750
Ho 0.578 0.156 0.613
Ho 0.422 0.844 0.113
Ru 0.714 0.428 0.418
Ru 0.286 0.572 0.582
Ru 0.714 0.428 0.082
Ru 0.286 0.572 0.918
Ge 0.885 0.770 0.541
Ge 0.836 0.672 0.250
Ge 0.164 0.328 0.750
Ge 0.115 0.230 0.459
Ge 0.885 0.770 0.959
Ge 0.115 0.230 0.041

Summary:
* density of states at the Fermi level: 7.22 states/eV/cell
* formation energy: -803 meV per atom

---

Here is crystalline Ho2SiGe at its relaxed geometry from Alexandria. Energies are from GGA-PBEsol.

Lattice parameters (Å, degrees): 3.824 4.208 5.634 111.93 90.00 90.00
Fractional positions:
Si 0.500 0.419 0.837
Ho 0.500 0.140 0.281
Ho 0.000 0.861 0.721
Ge 0.000 0.580 0.161

Summary:
* density of states at the Fermi level: 1.93 states/eV/cell
* formation energy without anion corrections: -0.908 eV/atom

---

Here is crystalline Ho4Si3Ge at its relaxed geometry from Alexandria. Energies are from GGA-PBEsol.

Lattice parameters (Å, degrees): 3.798 4.209 10.420 90.00 90.00 90.00
Fractional positions:
Si 0.500 0.500 0.077
Si 0.500 0.000 0.581
Si 0.000 0.500 0.923
Ge 0.000 0.000 0.419
Ho 0.000 0.000 0.138
Ho 0.500 0.000 0.860
Ho 0.500 0.500 0.359
Ho 0.000 0.500 0.642

Summary:
* density of states at the Fermi level: 3.99 states/eV/cell
* formation energy without anion corrections: -0.901 eV/atom

---

Here is crystalline GeI2 at its relaxed geometry from Alexandria. Energies are from GGA-PBEsol.

Lattice parameters (Å, degrees): 4.182 4.182 7.371 73.52 73.52 60.00
Fractional positions:
I 0.750 0.750 0.750
I 0.250 0.250 0.250
Ge 0.000 0.000 0.000

Summary:
* density of states at the Fermi level: 0.00 states/eV/cell
* formation energy without anion corrections: -0.320 eV/atom

---

Here is crystalline InGeI2 at its relaxed geometry from Alexandria. Energies are from GGA-PBEsol.

Lattice parameters (Å, degrees): 5.453 5.453 5.453 60.00 60.00 60.00
Fractional positions:
I 0.250 0.250 0.250
I 0.750 0.750 0.750
In 0.500 0.500 0.500
Ge 0.000 0.000 0.000

Summary:
* density of states at the Fermi level: 1.44 states/eV/cell
* formation energy without anion corrections: 0.049 eV/atom

---

Here is crystalline In3GeI at its relaxed geometry from Alexandria. Energies are from GGA-PBEsol.

Lattice parameters (Å, degrees): 6.039 6.039 6.039 90.00 90.00 90.00
Fractional positions:
In 0.500 0.000 0.000
In 0.000 0.000 0.500
In 0.000 0.500 0.000
I 0.000 0.000 0.000
Ge 0.500 0.500 0.500

Summary:
* density of states at the Fermi level: 4.27 states/eV/cell
* formation energy without anion corrections: 0.915 eV/atom

---

Here is crystalline GeIrI2O at its relaxed geometry from Alexandria. Energies are from GGA-PBEsol.

Lattice parameters (Å, degrees): 3.546 5.391 5.391 90.00 90.00 90.00
Fractional positions:
O 0.500 0.000 0.000
I 0.000 0.500 0.000
I 0.000 0.000 0.500
Ir 0.500 0.500 0.500
Ge 0.000 0.000 0.000

Summary:
* density of states at the Fermi level: 4.17 states/eV/cell
* formation energy without anion corrections: 0.585 eV/atom

---

Here is crystalline KGeI2 at its relaxed geometry from Alexandria. Energies are from GGA-PBEsol.

Lattice parameters (Å, degrees): 5.632 5.632 5.632 60.00 60.00 60.00
Fractional positions:
I 0.750 0.750 0.750
I 0.250 0.250 0.250
K 0.000 0.000 0.000
Ge 0.500 0.500 0.500

Summary:
* density of states at the Fermi level: 2.54 states/eV/cell
* formation energy without anion corrections: -0.339 eV/atom